1.
This record from OQMD describes crystalline NbBiB4 at its relaxed geometry. The functional is PBE.

Computed properties:
SG: Immm, No. 71
E above lowest polymorph: 0.341 eV per atom

abc: 5.032 5.032 5.032
angles: 143.98 113.03 78.46
Fractional positions:
Nb (0.000, 0.000, 0.000)
Bi (0.500, 0.500, 0.000)
B (0.079, 0.744, 0.335)
B (0.409, 0.744, 0.665)
B (0.591, 0.256, 0.335)
B (0.921, 0.256, 0.665)

=====

2.
This record from OQMD describes crystalline Nb4BiB3 at its relaxed geometry. The functional is PBE.

Computed properties:
SG: P6_3/mmc, No. 194
Energy: -8.4627 eV per atom

abc: 3.338 3.338 24.589
angles: 90.00 90.00 120.00
Fractional positions:
Nb (0.000, 0.000, 0.155)
Nb (0.000, 0.000, 0.345)
Nb (0.000, 0.000, 0.655)
Nb (0.000, 0.000, 0.845)
Nb (0.333, 0.667, 0.052)
Nb (0.333, 0.667, 0.448)
Nb (0.667, 0.333, 0.552)
Nb (0.667, 0.333, 0.948)
Bi (0.333, 0.667, 0.250)
Bi (0.667, 0.333, 0.750)
B (0.000, 0.000, 0.000)
B (0.000, 0.000, 0.500)
B (0.333, 0.667, 0.607)
B (0.333, 0.667, 0.893)
B (0.667, 0.333, 0.107)
B (0.667, 0.333, 0.393)

=====

3.
This record from OQMD describes crystalline Nb3BiB3 at its relaxed geometry. The functional is PBE.

Computed properties:
SG: Cmcm, No. 63
Energy: -8.2461 eV per atom

abc: 18.780 18.780 3.172
angles: 90.00 90.00 169.79
Fractional positions:
Nb (0.036, 0.964, 0.750)
Nb (0.105, 0.895, 0.250)
Nb (0.347, 0.653, 0.250)
Nb (0.653, 0.347, 0.750)
Nb (0.895, 0.105, 0.750)
Nb (0.964, 0.036, 0.250)
Bi (0.208, 0.792, 0.250)
Bi (0.792, 0.208, 0.750)
B (0.414, 0.586, 0.250)
B (0.440, 0.560, 0.750)
B (0.488, 0.512, 0.750)
B (0.512, 0.488, 0.250)
B (0.560, 0.440, 0.250)
B (0.586, 0.414, 0.750)

=====

4.
This record from OQMD describes crystalline NdBiB4 at its relaxed geometry. The functional is PBE.

Computed properties:
SG: Immm, No. 71
E above lowest polymorph: 0.000 eV per atom

abc: 5.516 5.516 5.516
angles: 145.84 120.93 70.03
Fractional positions:
Nd (0.000, 0.000, 0.000)
Bi (0.500, 0.500, 0.000)
B (0.066, 0.741, 0.324)
B (0.417, 0.741, 0.676)
B (0.583, 0.259, 0.324)
B (0.934, 0.259, 0.676)

=====

5.
This record from OQMD describes crystalline NdBiB4 at its relaxed geometry. The functional is PBE.

Computed properties:
SG: P6/mmm, No. 191
E above lowest polymorph: 0.074 eV per atom

abc: 3.295 3.295 8.414
angles: 90.00 90.00 120.00
Fractional positions:
Nd (0.000, 0.000, 0.000)
Bi (0.000, 0.000, 0.500)
B (0.333, 0.667, 0.242)
B (0.333, 0.667, 0.758)
B (0.667, 0.333, 0.242)
B (0.667, 0.333, 0.758)

=====

6.
This record from OQMD describes crystalline NiBiB4 at its relaxed geometry. The functional is PBE.

Computed properties:
SG: Immm, No. 71
E above lowest polymorph: 0.213 eV per atom

abc: 5.137 5.137 5.137
angles: 145.53 117.74 73.14
Fractional positions:
Ni (0.000, 0.000, 0.000)
Bi (0.500, 0.500, 0.000)
B (0.078, 0.740, 0.338)
B (0.403, 0.740, 0.662)
B (0.597, 0.260, 0.338)
B (0.922, 0.260, 0.662)

=====

7.
This record from OQMD describes crystalline NiBiB4 at its relaxed geometry. The functional is PBE.

Computed properties:
SG: P6/mmm, No. 191
E above lowest polymorph: 0.000 eV per atom

abc: 3.074 3.074 8.113
angles: 90.00 90.00 120.00
Fractional positions:
Ni (0.000, 0.000, 0.000)
Bi (0.000, 0.000, 0.500)
B (0.333, 0.667, 0.176)
B (0.333, 0.667, 0.824)
B (0.667, 0.333, 0.176)
B (0.667, 0.333, 0.824)

=====

8.
This record from OQMD describes crystalline ZnBi2B2O7 at its relaxed geometry. The functional is PBE.

Computed properties:
SG: Pba2, No. 32
Energy: -6.5753 eV per atom

abc: 10.814 10.941 4.899
angles: 90.00 90.00 90.00
Fractional positions:
Zn (0.241, 0.243, 0.000)
Zn (0.259, 0.743, 0.000)
Zn (0.741, 0.257, 0.000)
Zn (0.759, 0.757, 0.000)
Bi (0.012, 0.315, 0.511)
Bi (0.178, 0.972, 0.515)
Bi (0.322, 0.472, 0.515)
Bi (0.488, 0.815, 0.511)
Bi (0.512, 0.185, 0.511)
Bi (0.678, 0.528, 0.515)
Bi (0.822, 0.028, 0.515)
Bi (0.988, 0.685, 0.511)
B (0.014, 0.872, 0.059)
B (0.116, 0.521, 0.009)
B (0.384, 0.021, 0.009)
B (0.486, 0.372, 0.059)
B (0.514, 0.628, 0.059)
B (0.616, 0.979, 0.009)
B (0.884, 0.479, 0.009)
B (0.986, 0.128, 0.059)
O (0.000, 0.000, 0.151)
O (0.000, 0.500, 0.883)
O (0.020, 0.860, 0.761)
O (0.088, 0.201, 0.183)
O (0.128, 0.825, 0.203)
O (0.134, 0.482, 0.269)
O (0.199, 0.585, 0.856)
O (0.200, 0.328, 0.667)
O (0.300, 0.828, 0.667)
O (0.301, 0.085, 0.856)
O (0.366, 0.982, 0.269)
O (0.372, 0.325, 0.203)
O (0.412, 0.701, 0.183)
O (0.480, 0.360, 0.761)
O (0.500, 0.000, 0.883)
O (0.500, 0.500, 0.151)
O (0.520, 0.640, 0.761)
O (0.588, 0.299, 0.183)
O (0.628, 0.675, 0.203)
O (0.634, 0.018, 0.269)
O (0.699, 0.915, 0.856)
O (0.700, 0.172, 0.667)
O (0.800, 0.672, 0.667)
O (0.801, 0.415, 0.856)
O (0.866, 0.518, 0.269)
O (0.872, 0.175, 0.203)
O (0.912, 0.799, 0.183)
O (0.980, 0.140, 0.761)

=====

9.
This record from OQMD describes crystalline BiB4Os at its relaxed geometry. The functional is PBE.

Computed properties:
SG: P6/mmm, No. 191
E above lowest polymorph: 0.000 eV per atom

abc: 3.043 3.043 8.559
angles: 90.00 90.00 120.00
Fractional positions:
Bi (0.000, 0.000, 0.000)
B (0.333, 0.667, 0.306)
B (0.333, 0.667, 0.694)
B (0.667, 0.333, 0.306)
B (0.667, 0.333, 0.694)
Os (0.000, 0.000, 0.500)

=====

10.
This record from OQMD describes crystalline BiB4Os at its relaxed geometry. The functional is PBE.

Computed properties:
SG: Immm, No. 71
E above lowest polymorph: 0.292 eV per atom

abc: 5.210 5.210 5.210
angles: 148.08 115.38 73.89
Fractional positions:
Bi (0.000, 0.000, 0.000)
B (0.125, 0.778, 0.346)
B (0.432, 0.778, 0.654)
B (0.568, 0.222, 0.346)
B (0.875, 0.222, 0.654)
Os (0.500, 0.500, 0.000)

=====

11.
This record from OQMD describes crystalline BiBOs at its relaxed geometry. The functional is PBE.

Computed properties:
SG: F-43m, No. 216
Energy: -5.9112 eV per atom

abc: 4.140 4.140 4.140
angles: 60.00 60.00 60.00
Fractional positions:
Bi (0.000, 0.000, 0.000)
B (0.250, 0.250, 0.250)
Os (0.500, 0.500, 0.500)

=====

12.
This record from OQMD describes crystalline PaBi2B2 at its relaxed geometry. The functional is PBE.

Computed properties:
SG: I4/mmm, No. 139
Energy: -5.5087 eV per atom

abc: 6.436 6.436 6.436
angles: 141.64 141.64 55.37
Fractional positions:
Pa (0.000, 0.000, 0.000)
Bi (0.250, 0.750, 0.500)
Bi (0.750, 0.250, 0.500)
B (0.432, 0.432, 0.000)
B (0.568, 0.568, 0.000)

=====

Number 1: density 8.5 Mg/m³. Number 2: density 8.6 Mg/m³. Number 3: density 8.7 Mg/m³. Number 4: density 8.3 Mg/m³. Number 5: density 8.3 Mg/m³. Number 6: density 7.7 Mg/m³. Number 7: density 7.8 Mg/m³. Number 8: density 7.1 Mg/m³. Number 9: density 10.7 Mg/m³. Number 10: density 11.1 Mg/m³. Number 11: density 13.6 Mg/m³. Number 12: density 10.9 Mg/m³.